VASP calculation (PBE-GGA) on Na2AgSbF after structural relaxation.

abc: 4.301 4.301 5.621
angles: 90.00 90.00 90.00
Fractional positions:
Na  0.000  0.500  0.000
Na  0.500  0.000  0.000
Ag  0.000  0.000  0.500
Sb  0.500  0.500  0.500
F  0.000  0.000  0.000

Output
For the formation energy from raw total energies, the calculation gives -1.02 eV/atom. Its final energy is -3.312 eV/atom.

VASP calculation (PBE-GGA) on NaScAgF6 after structural relaxation.

abc: 5.655 5.655 9.291
angles: 90.00 90.00 120.00
Fractional positions:
Na  0.333  0.667  0.250
Na  0.667  0.333  0.750
Sc  0.333  0.667  0.750
Sc  0.667  0.333  0.250
Ag  0.000  0.000  0.000
Ag  0.000  0.000  0.500
F  0.036  0.358  0.631
F  0.036  0.678  0.869
F  0.322  0.358  0.869
F  0.322  0.964  0.631
F  0.358  0.036  0.131
F  0.358  0.322  0.369
F  0.642  0.678  0.631
F  0.642  0.964  0.869
F  0.678  0.036  0.369
F  0.678  0.642  0.131
F  0.964  0.322  0.131
F  0.964  0.642  0.369

Output
For the formation energy from raw total energies, the calculation gives -2.70 eV/atom. Its final energy is -5.117 eV/atom.

VASP calculation (PBE-GGA) on NaScAg2F6 after structural relaxation.

abc: 5.822 6.004 10.171
angles: 90.00 124.66 90.00
Fractional positions:
Na  0.000  0.000  0.000
Na  0.000  0.500  0.500
Sc  0.500  0.000  0.500
Sc  0.500  0.500  0.000
Ag  0.234  0.053  0.750
Ag  0.234  0.447  0.250
Ag  0.766  0.553  0.750
Ag  0.766  0.947  0.250
F  0.171  0.193  0.448
F  0.171  0.307  0.948
F  0.250  0.725  0.433
F  0.250  0.775  0.933
F  0.382  0.046  0.269
F  0.382  0.454  0.769
F  0.618  0.546  0.231
F  0.618  0.954  0.731
F  0.750  0.225  0.067
F  0.750  0.275  0.567
F  0.829  0.693  0.052
F  0.829  0.807  0.552

Output
For the formation energy from raw total energies, the calculation gives -2.54 eV/atom. Its final energy is -5.003 eV/atom.

VASP calculation (PBE-GGA) on NaSiAgF6 after structural relaxation.

abc: 5.680 5.680 4.668
angles: 90.00 90.00 120.00
Fractional positions:
Na  0.000  0.000  0.000
Si  0.667  0.333  0.500
Ag  0.333  0.667  0.500
F  0.413  0.091  0.713
F  0.413  0.322  0.287
F  0.678  0.091  0.287
F  0.678  0.587  0.713
F  0.909  0.322  0.713
F  0.909  0.587  0.287

Output
For the formation energy from raw total energies, the calculation gives -2.61 eV/atom. Its final energy is -4.928 eV/atom.

VASP calculation (PBE-GGA) on Na2SiAgF8 after structural relaxation.

abc: 5.095 5.095 6.964
angles: 90.00 90.00 120.00
Fractional positions:
Na  0.333  0.667  0.342
Na  0.667  0.333  0.658
Si  0.000  0.000  0.500
Ag  0.000  0.000  0.000
F  0.157  0.314  0.643
F  0.157  0.843  0.643
F  0.314  0.157  0.357
F  0.333  0.667  0.024
F  0.667  0.333  0.976
F  0.686  0.843  0.643
F  0.843  0.157  0.357
F  0.843  0.686  0.357

Output
For the formation energy from raw total energies, the calculation gives -2.35 eV/atom. Its final energy is -4.504 eV/atom.

VASP calculation (PBE-GGA) on NaSiAg2F8 after structural relaxation.

abc: 5.400 5.400 6.880
angles: 90.00 90.00 120.00
Fractional positions:
Na  0.000  0.000  0.000
Si  0.000  0.000  0.500
Ag  0.333  0.667  0.336
Ag  0.667  0.333  0.664
F  0.150  0.299  0.645
F  0.150  0.850  0.645
F  0.299  0.150  0.355
F  0.333  0.667  0.038
F  0.667  0.333  0.962
F  0.701  0.850  0.645
F  0.850  0.150  0.355
F  0.850  0.701  0.355

Output
For the formation energy from raw total energies, the calculation gives -2.09 eV/atom. Its final energy is -4.376 eV/atom.

VASP calculation (PBE-GGA) on Na2AgSnF8 after structural relaxation.

abc: 5.086 7.082 5.121
angles: 90.00 93.08 90.00
Fractional positions:
Na  0.000  0.248  0.000
Na  0.000  0.752  0.000
Ag  0.500  0.000  0.500
Sn  0.500  0.500  0.500
F  0.209  0.000  0.209
F  0.216  0.500  0.216
F  0.315  0.290  0.683
F  0.315  0.710  0.683
F  0.685  0.290  0.317
F  0.685  0.710  0.317
F  0.784  0.500  0.784
F  0.791  0.000  0.791

Output
For the formation energy from raw total energies, the calculation gives -2.29 eV/atom. Its final energy is -4.328 eV/atom.

VASP calculation (PBE-GGA) on NaSrAg2F6 after structural relaxation.

abc: 5.740 6.198 10.596
angles: 90.00 120.26 90.00
Fractional positions:
Na  0.000  0.000  0.000
Na  0.000  0.500  0.500
Sr  0.500  0.000  0.500
Sr  0.500  0.500  0.000
Ag  0.253  0.064  0.777
Ag  0.253  0.436  0.277
Ag  0.747  0.564  0.723
Ag  0.747  0.936  0.223
F  0.105  0.222  0.401
F  0.105  0.278  0.901
F  0.200  0.701  0.408
F  0.200  0.799  0.908
F  0.446  0.129  0.256
F  0.446  0.371  0.756
F  0.554  0.629  0.244
F  0.554  0.871  0.744
F  0.800  0.201  0.092
F  0.800  0.299  0.592
F  0.895  0.722  0.099
F  0.895  0.778  0.599

Output
For the formation energy from raw total energies, the calculation gives -2.21 eV/atom. Its final energy is -4.202 eV/atom.

VASP calculation (PBE-GGA) on NaSrAgF6 after structural relaxation.

abc: 5.720 5.720 5.238
angles: 90.00 90.00 120.00
Fractional positions:
Na  0.000  0.000  0.000
Sr  0.667  0.333  0.500
Ag  0.333  0.667  0.000
F  0.027  0.357  0.226
F  0.027  0.671  0.774
F  0.329  0.357  0.774
F  0.329  0.973  0.226
F  0.643  0.671  0.226
F  0.643  0.973  0.774

Output
For the formation energy from raw total energies, the calculation gives -2.37 eV/atom. Its final energy is -4.272 eV/atom.

VASP calculation (PBE-GGA) on Na2TaAgF6 after structural relaxation.

abc: 6.962 6.962 6.962
angles: 60.00 60.00 60.00
Fractional positions:
Na  0.250  0.250  0.250
Na  0.750  0.750  0.750
Ta  0.000  0.000  0.000
Ag  0.500  0.500  0.500
F  0.196  0.196  0.804
F  0.196  0.804  0.196
F  0.196  0.804  0.804
F  0.804  0.196  0.196
F  0.804  0.196  0.804
F  0.804  0.804  0.196

Output
For the formation energy from raw total energies, the calculation gives -2.24 eV/atom. Its final energy is -5.093 eV/atom.

VASP calculation (PBE-GGA) on NaTaAgF6 after structural relaxation.

abc: 6.051 6.051 9.188
angles: 90.00 90.00 120.00
Fractional positions:
Na  0.333  0.667  0.250
Na  0.667  0.333  0.750
Ta  0.333  0.667  0.750
Ta  0.667  0.333  0.250
Ag  0.000  0.000  0.000
Ag  0.000  0.000  0.500
F  0.043  0.385  0.642
F  0.043  0.658  0.858
F  0.342  0.385  0.858
F  0.342  0.957  0.642
F  0.385  0.043  0.142
F  0.385  0.342  0.358
F  0.615  0.658  0.642
F  0.615  0.957  0.858
F  0.658  0.043  0.358
F  0.658  0.615  0.142
F  0.957  0.342  0.142
F  0.957  0.615  0.358

Output
For the formation energy from raw total energies, the calculation gives -2.53 eV/atom. Its final energy is -5.554 eV/atom.

VASP calculation (PBE-GGA) on Na2TbAgF6 after structural relaxation.

abc: 5.939 5.994 10.808
angles: 90.00 122.59 90.00
Fractional positions:
Na  0.211  0.022  0.214
Na  0.211  0.478  0.714
Na  0.789  0.522  0.286
Na  0.789  0.978  0.786
Tb  0.500  0.000  0.000
Tb  0.500  0.500  0.500
Ag  0.000  0.000  0.500
Ag  0.000  0.500  0.000
F  0.154  0.174  0.979
F  0.154  0.326  0.479
F  0.199  0.742  0.865
F  0.199  0.758  0.365
F  0.456  0.159  0.805
F  0.456  0.341  0.305
F  0.544  0.659  0.695
F  0.544  0.841  0.195
F  0.801  0.242  0.635
F  0.801  0.258  0.135
F  0.846  0.674  0.521
F  0.846  0.826  0.021

Output
For the formation energy from raw total energies, the calculation gives -2.92 eV/atom. Its final energy is -5.055 eV/atom.